Entry 1:
{
  "formula": "ErTcAs2",
  "functional": "PBE",
  "state": "optimized geometry",
  "lattice_angstrom": [[3.1777, 0.0000, 0.0000], [0.0000, 3.1777, 0.0000], [0.0000, 0.0000, 6.9944]],
  "species": ["As", "As", "Tc", "Er"],
  "fractional_positions": [[0.0000, 0.0000, 0.7875], [0.0000, 0.0000, 0.2125], [0.5000, 0.5000, 0.0000], [0.5000, 0.5000, 0.5000]],
  "total_magnetization_mub_per_cell": 0.00,
  "ef_kj_per_mol_atoms": -41.5,
  "dos_at_fermi_per_ev_cell": 2.77,
  "sg": "No. 123"
}

---

Entry 2:
{
  "formula": "Ca2Zn2Cu5Rh",
  "functional": "PBE",
  "state": "optimized geometry",
  "lattice_angstrom": [[3.6080, 0.0000, 0.0000], [0.0000, 9.5563, 0.0000], [0.0000, 0.0000, 9.5563]],
  "species": ["Ca", "Ca", "Ca", "Ca", "Zn", "Zn", "Zn", "Zn", "Cu", "Cu", "Cu", "Cu", "Cu", "Cu", "Cu", "Cu", "Cu", "Cu", "Rh", "Rh"],
  "fractional_positions": [[0.0000, 0.6800, 0.1800], [0.0000, 0.3200, 0.8200], [0.0000, 0.1800, 0.3200], [0.0000, 0.8200, 0.6800], [0.0000, 0.1189, 0.6189], [0.0000, 0.8811, 0.3811], [0.0000, 0.6189, 0.8811], [0.0000, 0.3811, 0.1189], [0.5000, 0.1933, 0.0534], [0.5000, 0.8067, 0.9466], [0.5000, 0.0534, 0.8067], [0.5000, 0.6933, 0.4466], [0.5000, 0.9466, 0.1933], [0.5000, 0.3067, 0.5534], [0.5000, 0.5534, 0.6933], [0.5000, 0.4466, 0.3067], [0.5000, 0.5000, 0.0000], [0.5000, 0.0000, 0.5000], [0.0000, 0.0000, 0.0000], [0.0000, 0.5000, 0.5000]],
  "total_magnetization_mub_per_cell": 0.00,
  "ef_kj_per_mol_atoms": -6.1,
  "dos_at_fermi_per_ev_cell": 7.16,
  "sg": "No. 127"
}

---

Entry 3:
{
  "formula": "Nd2Sn3Pd",
  "functional": "PBE",
  "state": "optimized geometry",
  "lattice_angstrom": [[4.3464, 0.0000, 1.8203], [1.8595, 5.6924, 1.6592], [-0.0630, 0.0922, 6.2498]],
  "species": ["Nd", "Nd", "Sn", "Sn", "Sn", "Pd"],
  "fractional_positions": [[0.5519, 0.1836, 0.7126], [0.4362, 0.8129, 0.3147], [0.8738, 0.5941, 0.6582], [0.8128, 0.2379, 0.1366], [0.1553, 0.7788, 0.9105], [0.1700, 0.3927, 0.2673]],
  "total_magnetization_mub_per_cell": 0.00,
  "ef_kj_per_mol_atoms": -70.5,
  "dos_at_fermi_per_ev_cell": 4.00,
  "sg": "No. 8"
}

---

Entry 4:
{
  "formula": "Th4Pb3",
  "functional": "PBE",
  "state": "optimized geometry",
  "lattice_angstrom": [[4.3186, 0.0000, 0.0000], [0.0000, 4.3186, 0.0000], [-2.1593, -2.1593, 11.8343]],
  "species": ["Th", "Th", "Th", "Th", "Pb", "Pb", "Pb"],
  "fractional_positions": [[0.1495, 0.1495, 0.2990], [0.4320, 0.4320, 0.8639], [0.5680, 0.5680, 0.1361], [0.8505, 0.8505, 0.7010], [0.0000, 0.0000, 0.0000], [0.2917, 0.2917, 0.5835], [0.7083, 0.7083, 0.4165]],
  "total_magnetization_mub_per_cell": 0.00,
  "ef_kj_per_mol_atoms": -9.3,
  "dos_at_fermi_per_ev_cell": 7.99,
  "sg": "No. 139"
}

---

Entry 5:
{
  "formula": "Ac2Pm4Pb3O2",
  "functional": "PBE",
  "state": "optimized geometry",
  "lattice_angstrom": [[4.8961, 0.0000, 0.0000], [0.0000, 4.8961, 0.0000], [-2.4480, -2.4480, 13.4256]],
  "species": ["Ac", "Ac", "Pm", "Pm", "Pm", "Pm", "Pb", "Pb", "Pb", "O", "O"],
  "fractional_positions": [[0.3072, 0.3072, 0.6143], [0.6928, 0.6928, 0.3857], [0.4200, 0.9200, 0.8400], [0.9200, 0.4200, 0.8400], [0.0800, 0.5800, 0.1600], [0.5800, 0.0800, 0.1600], [0.0000, 0.0000, 0.0000], [0.1722, 0.1722, 0.3444], [0.8278, 0.8278, 0.6556], [0.4041, 0.4041, 0.8082], [0.5959, 0.5959, 0.1918]],
  "total_magnetization_mub_per_cell": 0.00,
  "dos_at_fermi_per_ev_cell": 6.29,
  "sg": "No. 139",
  "e_form_raw_ev_per_atom": -1.394
}

---

Entry 6:
{
  "formula": "Pu2ZrTiP4",
  "functional": "PBE",
  "state": "optimized geometry",
  "lattice_angstrom": [[-3.5170, -1.0390, 1.0369], [1.9234, -6.3062, 0.2050], [0.9225, 2.7565, 5.8910]],
  "species": ["Pu", "Pu", "Zr", "Ti", "P", "P", "P", "P"],
  "fractional_positions": [[0.5000, 0.0000, 0.5000], [0.0000, 0.5000, 0.5000], [0.0000, 0.0000, 0.0000], [0.5000, 0.5000, 0.0000], [0.5000, 0.2530, 0.2322], [0.5000, 0.7470, 0.7678], [0.0000, 0.2649, 0.7732], [0.0000, 0.7351, 0.2268]],
  "total_magnetization_mub_per_cell": 0.08,
  "ef_kj_per_mol_atoms": -117.5,
  "dos_at_fermi_per_ev_cell": 19.28,
  "sg": "No. 10"
}

---

Entry 7:
{
  "formula": "CuAsP2",
  "functional": "PBE",
  "state": "optimized geometry",
  "lattice_angstrom": [[-0.3002, -6.1068, -1.2211], [0.0221, -5.8082, 2.2669], [-3.1140, -5.3499, 0.7458]],
  "species": ["As", "Cu", "P", "P"],
  "fractional_positions": [[0.2500, 0.2500, 0.2500], [0.7500, 0.7500, 0.7500], [0.0051, 0.0051, 0.0051], [0.4949, 0.4949, 0.4949]],
  "total_magnetization_mub_per_cell": 0.00,
  "ef_kj_per_mol_atoms": 17.2,
  "dos_at_fermi_per_ev_cell": 2.15,
  "sg": "No. 166"
}

---

Entry 8:
{
  "formula": "UPbCl6",
  "functional": "PBE",
  "state": "optimized geometry",
  "lattice_angstrom": [[6.8481, 0.0000, 0.0000], [-3.4240, 5.9306, 0.0000], [0.0000, 0.0000, 12.8664]],
  "species": ["U", "U", "Pb", "Pb", "Cl", "Cl", "Cl", "Cl", "Cl", "Cl", "Cl", "Cl", "Cl", "Cl", "Cl", "Cl"],
  "fractional_positions": [[0.0000, 0.0000, 0.5000], [0.0000, 0.0000, 0.0000], [0.3333, 0.6667, 0.2500], [0.6667, 0.3333, 0.7500], [0.3170, 0.3090, 0.3811], [0.6830, 0.6910, 0.6189], [0.9920, 0.6830, 0.3811], [0.3170, 0.0080, 0.1189], [0.0080, 0.3170, 0.6189], [0.6830, 0.9920, 0.8811], [0.6910, 0.0080, 0.3811], [0.9920, 0.3090, 0.1189], [0.3090, 0.9920, 0.6189], [0.0080, 0.6910, 0.8811], [0.6910, 0.6830, 0.1189], [0.3090, 0.3170, 0.8811]],
  "total_magnetization_mub_per_cell": 4.00,
  "dos_at_fermi_per_ev_cell": 9.34,
  "sg": "No. 163",
  "e_form_raw_ev_per_atom": -1.502
}

---

Entry 9:
{
  "formula": "CaEr2Te4",
  "functional": "PBE",
  "state": "optimized geometry",
  "lattice_angstrom": [[4.3786, 0.0000, 0.0000], [0.0000, 7.4878, -0.0002], [0.0000, 2.3540, 7.3772]],
  "species": ["Ca", "Er", "Er", "Te", "Te", "Te", "Te"],
  "fractional_positions": [[0.0000, 0.5000, 0.5000], [0.0000, 0.0000, 0.0000], [0.5000, 0.5000, 0.0000], [0.5000, 0.7614, 0.2431], [0.0000, 0.2550, 0.2360], [0.5000, 0.2386, 0.7569], [0.0000, 0.7450, 0.7640]],
  "total_magnetization_mub_per_cell": 0.00,
  "sg": "No. 10",
  "e_form_raw_ev_per_atom": -1.455
}

---

Entry 10:
{
  "formula": "TiMn3Ru",
  "functional": "PBE",
  "state": "optimized geometry",
  "lattice_angstrom": [[4.3330, 0.0000, 0.0000], [0.0000, 4.3330, 0.0000], [0.0000, 0.0000, 4.3330]],
  "species": ["Ru", "Mn", "Mn", "Mn", "Ti"],
  "fractional_positions": [[0.5000, 0.5000, 0.5000], [0.0000, 0.5000, 0.0000], [0.0000, 0.0000, 0.5000], [0.5000, 0.0000, 0.0000], [0.0000, 0.0000, 0.0000]],
  "total_magnetization_mub_per_cell": 9.05,
  "ef_kj_per_mol_atoms": 124.7,
  "dos_at_fermi_per_ev_cell": 4.54,
  "sg": "No. 221"
}

---

Entry 11:
{
  "formula": "LaHo5Er",
  "functional": "PBE",
  "state": "optimized geometry",
  "lattice_angstrom": [[6.3456, 0.0100, 3.1786], [3.1083, 8.0947, 1.7034], [-0.4456, -0.1354, 8.8244]],
  "species": ["La", "La", "Ho", "Ho", "Ho", "Ho", "Ho", "Ho", "Ho", "Ho", "Ho", "Ho", "Er", "Er"],
  "fractional_positions": [[0.0000, 0.0000, 0.0000], [0.5000, 0.0000, 0.0000], [0.4609, 0.2891, 0.2888], [0.7501, 0.5000, 0.0000], [0.9609, 0.2888, 0.2891], [0.7500, 0.7121, 0.2879], [0.7499, 0.0000, 0.5000], [0.2501, 0.0000, 0.5000], [0.2500, 0.2879, 0.7121], [0.0391, 0.7112, 0.7109], [0.2499, 0.5000, 0.0000], [0.5391, 0.7109, 0.7112], [0.7500, 0.2874, 0.7126], [0.2500, 0.7126, 0.2874]],
  "total_magnetization_mub_per_cell": 0.00,
  "ef_kj_per_mol_atoms": 16.8,
  "dos_at_fermi_per_ev_cell": 21.84,
  "sg": "No. 74"
}

---

Entry 12:
{
  "formula": "VCo3Sb",
  "functional": "PBE",
  "state": "optimized geometry",
  "lattice_angstrom": [[-2.9833, -2.9817, -0.7524], [2.9919, -2.5720, -1.6704], [0.7108, -1.6885, 3.8731]],
  "species": ["Sb", "Co", "Co", "Co", "V"],
  "fractional_positions": [[0.5000, 0.5000, 0.5000], [0.0000, 0.5000, 0.0000], [0.0000, 0.0000, 0.5000], [0.5000, 0.0000, 0.0000], [0.0000, 0.0000, 0.0000]],
  "total_magnetization_mub_per_cell": 0.67,
  "dos_at_fermi_per_ev_cell": 7.48,
  "sg": "No. 221",
  "e_form_raw_ev_per_atom": 0.918
}

---

Entry 13:
{
  "formula": "MnBeSe2",
  "functional": "PBE",
  "state": "optimized geometry",
  "lattice_angstrom": [[8.2108, 0.0000, 0.0000], [0.0000, 3.3655, 0.0000], [0.0000, 0.0000, 12.6854]],
  "species": ["Be", "Be", "Be", "Be", "Mn", "Mn", "Mn", "Mn", "Se", "Se", "Se", "Se", "Se", "Se", "Se", "Se"],
  "fractional_positions": [[0.1006, 0.2500, 0.5551], [0.3994, 0.7500, 0.0551], [0.8994, 0.7500, 0.4449], [0.6006, 0.2500, 0.9449], [0.1602, 0.2500, 0.3799], [0.3398, 0.7500, 0.8799], [0.8398, 0.7500, 0.6201], [0.6602, 0.2500, 0.1201], [0.7186, 0.2500, 0.4993], [0.7814, 0.7500, 0.9993], [0.2814, 0.7500, 0.5007], [0.2186, 0.2500, 0.0007], [0.4975, 0.2500, 0.7874], [0.0025, 0.7500, 0.2874], [0.5025, 0.7500, 0.2126], [0.9975, 0.2500, 0.7126]],
  "total_magnetization_mub_per_cell": 12.00,
  "dos_at_fermi_per_ev_cell": 2.83,
  "sg": "No. 62",
  "e_form_raw_ev_per_atom": -0.256
}

---

Entry 14:
{
  "formula": "CaPmMgAl",
  "functional": "PBE",
  "state": "optimized geometry",
  "lattice_angstrom": [[-1.4282, -1.4357, 4.9603], [3.7570, -1.1563, 3.6406], [0.8657, 3.3303, 4.1068]],
  "species": ["Mg", "Ca", "Al", "Pm"],
  "fractional_positions": [[0.0000, 0.0000, 0.0000], [0.7500, 0.7500, 0.7500], [0.5000, 0.5000, 0.5000], [0.2500, 0.2500, 0.2500]],
  "total_magnetization_mub_per_cell": 0.00,
  "ef_kj_per_mol_atoms": -20.6,
  "dos_at_fermi_per_ev_cell": 2.27,
  "sg": "No. 216"
}

---

Entry 15:
{
  "formula": "Cs2Na2TlHg2",
  "functional": "PBE",
  "state": "optimized geometry",
  "lattice_angstrom": [[5.3946, 0.0000, 0.0000], [2.6973, 7.6933, -1.7150], [2.6973, 0.2186, 7.3850]],
  "species": ["Cs", "Cs", "Na", "Na", "Tl", "Hg", "Hg"],
  "fractional_positions": [[0.5792, 0.2415, 0.6001], [0.4208, 0.7585, 0.3999], [0.3166, 0.2332, 0.1337], [0.6834, 0.7668, 0.8663], [0.0000, 0.0000, 0.0000], [0.1851, 0.6092, 0.0206], [0.8149, 0.3908, 0.9794]],
  "total_magnetization_mub_per_cell": 0.00,
  "ef_kj_per_mol_atoms": -14.5,
  "dos_at_fermi_per_ev_cell": 4.23,
  "sg": "No. 12"
}

---

Entry 16:
{
  "formula": "CsCdIn",
  "functional": "PBE",
  "state": "optimized geometry",
  "lattice_angstrom": [[-3.2878, 3.0884, -2.2269], [-1.4453, -1.0198, -4.7093], [-11.3166, -6.4258, 2.2345]],
  "species": ["Cs", "Cs", "Cd", "Cd", "In", "In"],
  "fractional_positions": [[0.2586, 0.2586, 0.6910], [0.7414, 0.7414, 0.3090], [0.4683, 0.4683, 0.1204], [0.5317, 0.5317, 0.8796], [0.8516, 0.8516, 0.9391], [0.1484, 0.1484, 0.0609]],
  "total_magnetization_mub_per_cell": 0.12,
  "ef_kj_per_mol_atoms": -4.2,
  "dos_at_fermi_per_ev_cell": 3.57,
  "sg": "No. 12"
}

---

Entry 17:
{
  "formula": "BaCd2F",
  "functional": "PBE",
  "state": "optimized geometry",
  "lattice_angstrom": [[0.0000, 3.9295, 3.9295], [3.9295, 0.0000, 3.9295], [3.9295, 3.9295, 0.0000]],
  "species": ["F", "Ba", "Cd", "Cd"],
  "fractional_positions": [[0.0000, 0.0000, 0.0000], [0.5000, 0.5000, 0.5000], [0.2500, 0.2500, 0.2500], [0.7500, 0.7500, 0.7500]],
  "total_magnetization_mub_per_cell": 0.00,
  "dos_at_fermi_per_ev_cell": 3.20,
  "sg": "No. 225",
  "e_form_raw_ev_per_atom": -0.663
}

---

Entry 18:
{
  "formula": "Tb2Tm2Hg",
  "functional": "PBE",
  "state": "optimized geometry",
  "lattice_angstrom": [[-2.2234, -3.3392, -3.0488], [-1.1404, -2.8735, 3.9789], [-8.9851, 9.0687, 0.7837]],
  "species": ["Tb", "Tb", "Tb", "Tb", "Tm", "Tm", "Tm", "Tm", "Hg", "Hg"],
  "fractional_positions": [[0.4239, 0.9239, 0.8478], [0.6739, 0.6739, 0.3478], [0.3261, 0.3261, 0.6522], [0.0761, 0.5761, 0.1522], [0.8230, 0.8230, 0.6460], [0.5730, 0.0730, 0.1460], [0.9270, 0.4270, 0.8540], [0.1770, 0.1770, 0.3540], [0.5000, 0.5000, 0.0000], [0.2500, 0.7500, 0.5000]],
  "total_magnetization_mub_per_cell": 2.42,
  "ef_kj_per_mol_atoms": -3.4,
  "dos_at_fermi_per_ev_cell": 17.35,
  "sg": "No. 141"
}

---

Entry 19:
{
  "formula": "Li2Tb2SmMg5",
  "functional": "PBE",
  "state": "optimized geometry",
  "lattice_angstrom": [[-3.0949, -0.0036, -3.1514], [-1.7954, -10.3397, 1.7752], [-7.3786, 2.5248, 7.2433]],
  "species": ["Li", "Li", "Li", "Li", "Tb", "Tb", "Tb", "Tb", "Sm", "Sm", "Mg", "Mg", "Mg", "Mg", "Mg", "Mg", "Mg", "Mg", "Mg", "Mg"],
  "fractional_positions": [[0.0000, 0.1141, 0.6141], [0.0000, 0.8859, 0.3859], [0.0000, 0.6141, 0.8859], [0.0000, 0.3859, 0.1141], [0.0000, 0.6801, 0.1801], [0.0000, 0.3199, 0.8199], [0.0000, 0.1801, 0.3199], [0.0000, 0.8199, 0.6801], [0.0000, 0.0000, 0.0000], [0.0000, 0.5000, 0.5000], [0.5000, 0.2160, 0.0628], [0.5000, 0.7840, 0.9372], [0.5000, 0.0628, 0.7840], [0.5000, 0.7160, 0.4372], [0.5000, 0.9372, 0.2160], [0.5000, 0.2840, 0.5628], [0.5000, 0.5628, 0.7160], [0.5000, 0.4372, 0.2840], [0.5000, 0.5000, 0.0000], [0.5000, 0.0000, 0.5000]],
  "total_magnetization_mub_per_cell": 0.00,
  "ef_kj_per_mol_atoms": -2.3,
  "dos_at_fermi_per_ev_cell": 18.11,
  "sg": "No. 127"
}

---

Entry 20:
{
  "formula": "Sr8GaAu2",
  "functional": "PBE",
  "state": "optimized geometry",
  "lattice_angstrom": [[6.4938, 0.0005, 0.0003], [-0.0006, 8.5255, -4.9209], [0.0011, -0.0077, 9.8343]],
  "species": ["Sr", "Sr", "Sr", "Sr", "Sr", "Sr", "Sr", "Sr", "Au", "Au", "Ga"],
  "fractional_positions": [[0.2551, 0.6666, 0.3331], [0.7449, 0.3334, 0.6669], [0.7486, 0.8421, 0.1555], [0.2515, 0.1554, 0.3135], [0.2514, 0.6866, 0.8417], [0.2514, 0.1579, 0.8445], [0.7485, 0.8446, 0.6865], [0.7486, 0.3134, 0.1583], [0.2438, 0.3335, 0.6670], [0.7562, 0.6665, 0.3330], [0.0000, 0.0000, 0.0000]],
  "total_magnetization_mub_per_cell": 0.00,
  "ef_kj_per_mol_atoms": -19.3,
  "dos_at_fermi_per_ev_cell": 8.72,
  "sg": "No. 2"
}

---

no.,V (Å³/atom)
1,17.656
2,16.474
3,25.821
4,31.531
5,29.258
6,19.468
7,15.775
8,32.659
9,34.552
10,16.270
11,33.184
12,15.730
13,21.909
14,27.188
15,44.073
16,47.761
17,30.337
18,31.187
19,25.019
20,49.474